[1]
{
  "formula": "BTe3Au",
  "functional": "GGA-PBE",
  "state": "optimized geometry",
  "space_group": "No. 221",
  "lattice_angstrom": [[5.454, 0.000, 0.000], [0.000, 5.454, 0.000], [0.000, 0.000, 5.454]],
  "species": ["B", "Te", "Te", "Te", "Au"],
  "frac_coords": [[0.000, 0.000, 0.000], [0.000, 0.500, 0.500], [0.500, 0.000, 0.500], [0.500, 0.500, 0.000], [0.500, 0.500, 0.500]]
}

[2]
{
  "formula": "Na2CdHgH",
  "functional": "GGA-PBE",
  "state": "optimized geometry",
  "space_group": "No. 123",
  "lattice_angstrom": [[4.531, 0.000, 0.000], [0.000, 4.531, 0.000], [0.000, 0.000, 5.227]],
  "species": ["Na", "Na", "Cd", "Hg", "H"],
  "frac_coords": [[0.000, 0.500, 0.000], [0.500, 0.000, 0.000], [0.000, 0.000, 0.500], [0.500, 0.500, 0.500], [0.500, 0.500, 0.000]]
}

[3]
{
  "formula": "Gd2Mg",
  "functional": "GGA-PBE",
  "state": "optimized geometry",
  "formation_enthalpy_0k_mev_per_atom": 268,
  "space_group": "No. 227",
  "lattice_angstrom": [[0.000, 4.541, 4.541], [4.541, 0.000, 4.541], [4.541, 4.541, 0.000]],
  "species": ["Gd", "Gd", "Gd", "Gd", "Mg", "Mg"],
  "frac_coords": [[0.000, 0.000, 0.000], [0.000, 0.000, 0.500], [0.000, 0.500, 0.000], [0.500, 0.000, 0.000], [0.375, 0.375, 0.375], [0.625, 0.625, 0.625]]
}

[4]
{
  "formula": "La2SmOs2N6",
  "functional": "GGA-PBE",
  "state": "optimized geometry",
  "space_group": "No. 166",
  "lattice_angstrom": [[2.894, 1.671, 6.132], [-2.894, 1.671, 6.132], [0.000, -3.342, 6.132]],
  "species": ["La", "La", "Sm", "Os", "Os", "N", "N", "N", "N", "N", "N"],
  "frac_coords": [[0.208, 0.208, 0.208], [0.792, 0.792, 0.792], [0.000, 0.000, 0.000], [0.400, 0.400, 0.400], [0.600, 0.600, 0.600], [0.228, 0.738, 0.738], [0.262, 0.262, 0.772], [0.262, 0.772, 0.262], [0.738, 0.228, 0.738], [0.738, 0.738, 0.228], [0.772, 0.262, 0.262]]
}

[5]
{
  "formula": "LiCd4W",
  "functional": "GGA-PBE",
  "state": "optimized geometry",
  "formation_enthalpy_0k_mev_per_atom": 630,
  "space_group": "No. 216",
  "lattice_angstrom": [[0.000, 3.974, 3.974], [3.974, 0.000, 3.974], [3.974, 3.974, 0.000]],
  "species": ["Li", "Cd", "Cd", "Cd", "Cd", "W"],
  "frac_coords": [[0.000, 0.000, 0.000], [0.375, 0.375, 0.375], [0.375, 0.375, 0.874], [0.375, 0.874, 0.375], [0.874, 0.375, 0.375], [0.750, 0.750, 0.750]]
}

[6]
{
  "formula": "Dy12Tl5Rh2",
  "functional": "GGA-PBE",
  "state": "optimized geometry",
  "formation_enthalpy_0k_mev_per_atom": -215,
  "space_group": "No. 12",
  "lattice_angstrom": [[8.449, -3.816, 0.000], [8.449, 3.816, 0.000], [-2.570, 0.000, 9.354]],
  "species": ["Dy", "Dy", "Dy", "Dy", "Dy", "Dy", "Dy", "Dy", "Dy", "Dy", "Dy", "Dy", "Tl", "Tl", "Tl", "Tl", "Tl", "Rh", "Rh"],
  "frac_coords": [[0.003, 0.003, 0.240], [0.076, 0.598, 0.908], [0.101, 0.599, 0.427], [0.401, 0.899, 0.573], [0.402, 0.924, 0.092], [0.486, 0.486, 0.174], [0.514, 0.514, 0.826], [0.598, 0.076, 0.908], [0.599, 0.101, 0.427], [0.899, 0.401, 0.573], [0.924, 0.402, 0.092], [0.997, 0.997, 0.760], [0.190, 0.190, 0.839], [0.198, 0.198, 0.362], [0.500, 0.500, 0.500], [0.802, 0.802, 0.638], [0.810, 0.810, 0.161], [0.212, 0.788, 0.000], [0.788, 0.212, 0.000]]
}

[7]
{
  "formula": "SrIn2Pd",
  "functional": "GGA-PBE",
  "state": "optimized geometry",
  "formation_enthalpy_0k_mev_per_atom": -600,
  "space_group": "No. 11",
  "lattice_angstrom": [[4.589, 0.000, 0.000], [0.000, 8.066, 0.000], [-2.278, 0.000, 5.433]],
  "species": ["Sr", "Sr", "In", "In", "In", "In", "Pd", "Pd"],
  "frac_coords": [[0.062, 0.250, 0.123], [0.938, 0.750, 0.877], [0.348, 0.054, 0.696], [0.348, 0.446, 0.696], [0.652, 0.554, 0.304], [0.652, 0.946, 0.304], [0.220, 0.750, 0.440], [0.780, 0.250, 0.560]]
}

[8]
{
  "formula": "NdGd4Dy",
  "functional": "GGA-PBE",
  "state": "optimized geometry",
  "formation_enthalpy_0k_mev_per_atom": 257,
  "space_group": "No. 216",
  "lattice_angstrom": [[0.000, 4.675, 4.675], [4.675, 0.000, 4.675], [4.675, 4.675, 0.000]],
  "species": ["Nd", "Gd", "Gd", "Gd", "Gd", "Dy"],
  "frac_coords": [[0.000, 0.000, 0.000], [0.375, 0.375, 0.375], [0.375, 0.375, 0.874], [0.375, 0.874, 0.375], [0.874, 0.375, 0.375], [0.750, 0.750, 0.750]]
}

[9]
{
  "formula": "PmYCd3",
  "functional": "GGA-PBE",
  "state": "optimized geometry",
  "formation_enthalpy_0k_mev_per_atom": -281,
  "space_group": "No. 11",
  "lattice_angstrom": [[5.384, 0.000, 0.000], [0.000, 5.414, 0.000], [-2.692, 0.000, 8.975]],
  "species": ["Pm", "Pm", "Y", "Y", "Cd", "Cd", "Cd", "Cd", "Cd", "Cd"],
  "frac_coords": [[0.148, 0.250, 0.297], [0.852, 0.750, 0.703], [0.352, 0.250, 0.706], [0.648, 0.750, 0.294], [0.046, 0.750, 0.088], [0.251, 0.750, 0.500], [0.458, 0.750, 0.915], [0.542, 0.250, 0.085], [0.749, 0.250, 0.500], [0.954, 0.250, 0.912]]
}

[10]
{
  "formula": "V3PdPt6",
  "functional": "GGA-PBE",
  "state": "optimized geometry",
  "formation_enthalpy_0k_mev_per_atom": -243,
  "space_group": "No. 36",
  "lattice_angstrom": [[4.760, -6.549, 0.000], [4.760, 6.549, 0.000], [0.000, 0.000, 5.042]],
  "species": ["V", "V", "V", "V", "V", "V", "Pd", "Pd", "Pt", "Pt", "Pt", "Pt", "Pt", "Pt", "Pt", "Pt", "Pt", "Pt", "Pt", "Pt"],
  "frac_coords": [[0.132, 0.868, 0.500], [0.209, 0.413, 0.248], [0.413, 0.209, 0.748], [0.587, 0.791, 0.248], [0.791, 0.587, 0.748], [0.868, 0.132, 0.000], [0.325, 0.675, 0.537], [0.675, 0.325, 0.037], [0.042, 0.456, 0.825], [0.108, 0.178, 0.611], [0.178, 0.108, 0.111], [0.230, 0.770, 0.043], [0.456, 0.042, 0.325], [0.456, 0.544, 0.925], [0.544, 0.456, 0.425], [0.544, 0.958, 0.825], [0.770, 0.230, 0.543], [0.822, 0.892, 0.611], [0.892, 0.822, 0.111], [0.958, 0.544, 0.325]]
}

[11]
{
  "formula": "HfScTcSn",
  "functional": "GGA-PBE",
  "state": "optimized geometry",
  "formation_enthalpy_0k_mev_per_atom": -359,
  "space_group": "No. 216",
  "lattice_angstrom": [[0.000, 3.347, 3.347], [3.347, 0.000, 3.347], [3.347, 3.347, 0.000]],
  "species": ["Hf", "Sc", "Tc", "Sn"],
  "frac_coords": [[0.000, 0.000, 0.000], [0.750, 0.750, 0.750], [0.250, 0.250, 0.250], [0.500, 0.500, 0.500]]
}

[12]
{
  "formula": "ZrV2IN",
  "functional": "GGA-PBE",
  "state": "optimized geometry",
  "space_group": "No. 123",
  "lattice_angstrom": [[3.927, 0.000, 0.000], [0.000, 3.927, 0.000], [0.000, 0.000, 5.693]],
  "species": ["Zr", "V", "V", "I", "N"],
  "frac_coords": [[0.000, 0.000, 0.000], [0.000, 0.500, 0.500], [0.500, 0.000, 0.500], [0.500, 0.500, 0.000], [0.500, 0.500, 0.500]]
}

[13]
{
  "formula": "YHo2Au",
  "functional": "GGA-PBE",
  "state": "optimized geometry",
  "formation_enthalpy_0k_mev_per_atom": -296,
  "space_group": "No. 160",
  "lattice_angstrom": [[1.868, 1.079, 9.755], [-1.868, 1.079, 9.755], [0.000, -2.157, 9.755]],
  "species": ["Y", "Ho", "Ho", "Au"],
  "frac_coords": [[0.000, 0.000, 0.000], [0.236, 0.236, 0.236], [0.432, 0.432, 0.432], [0.835, 0.835, 0.835]]
}

[14]
{
  "formula": "Y2ZnIr3",
  "functional": "GGA-PBE",
  "state": "optimized geometry",
  "formation_enthalpy_0k_mev_per_atom": -712,
  "space_group": "No. 166",
  "lattice_angstrom": [[2.762, 1.595, 4.119], [-2.762, 1.595, 4.119], [0.000, -3.189, 4.119]],
  "species": ["Y", "Y", "Zn", "Ir", "Ir", "Ir"],
  "frac_coords": [[0.127, 0.127, 0.127], [0.873, 0.873, 0.873], [0.500, 0.500, 0.500], [0.000, 0.500, 0.500], [0.500, 0.000, 0.500], [0.500, 0.500, 0.000]]
}

[15]
{
  "formula": "SiMo2P",
  "functional": "GGA-PBE",
  "state": "optimized geometry",
  "space_group": "No. 6",
  "lattice_angstrom": [[3.142, 0.000, 0.000], [0.000, 4.578, 0.000], [-1.567, 0.000, 4.307]],
  "species": ["Si", "Mo", "Mo", "P"],
  "frac_coords": [[0.000, 0.000, 0.000], [0.278, 0.000, 0.555], [0.591, 0.500, 0.184], [0.303, 0.500, 0.608]]
}

[16]
{
  "formula": "Cd2WCl",
  "functional": "GGA-PBE",
  "state": "optimized geometry",
  "space_group": "No. 160",
  "lattice_angstrom": [[1.506, 0.870, 11.048], [-1.506, 0.870, 11.048], [0.000, -1.739, 11.048]],
  "species": ["Cd", "Cd", "W", "Cl"],
  "frac_coords": [[0.000, 0.000, 0.000], [0.245, 0.245, 0.245], [0.740, 0.740, 0.740], [0.459, 0.459, 0.459]]
}

[17]
{
  "formula": "Ca3TlHg7",
  "functional": "GGA-PBE",
  "state": "optimized geometry",
  "formation_enthalpy_0k_mev_per_atom": -240,
  "space_group": "No. 63",
  "lattice_angstrom": [[1.923, -16.669, 0.000], [1.923, 16.669, 0.000], [0.000, 0.000, 11.046]],
  "species": ["Ca", "Ca", "Ca", "Ca", "Ca", "Ca", "Tl", "Tl", "Hg", "Hg", "Hg", "Hg", "Hg", "Hg", "Hg", "Hg", "Hg", "Hg", "Hg", "Hg", "Hg", "Hg"],
  "frac_coords": [[0.063, 0.937, 0.567], [0.063, 0.937, 0.933], [0.178, 0.822, 0.250], [0.822, 0.178, 0.750], [0.937, 0.063, 0.067], [0.937, 0.063, 0.433], [0.081, 0.919, 0.250], [0.919, 0.081, 0.750], [0.277, 0.723, 0.563], [0.277, 0.723, 0.937], [0.367, 0.633, 0.535], [0.367, 0.633, 0.965], [0.389, 0.611, 0.250], [0.485, 0.515, 0.623], [0.485, 0.515, 0.877], [0.515, 0.485, 0.123], [0.515, 0.485, 0.377], [0.611, 0.389, 0.750], [0.633, 0.367, 0.035], [0.633, 0.367, 0.465], [0.723, 0.277, 0.063], [0.723, 0.277, 0.437]]
}

[18]
{
  "formula": "Ba2LiHg3Pb4",
  "functional": "GGA-PBE",
  "state": "optimized geometry",
  "formation_enthalpy_0k_mev_per_atom": -364,
  "space_group": "No. 115",
  "lattice_angstrom": [[4.970, 0.000, 0.000], [0.000, 4.970, 0.000], [0.000, 0.000, 12.943]],
  "species": ["Ba", "Ba", "Li", "Hg", "Hg", "Hg", "Pb", "Pb", "Pb", "Pb"],
  "frac_coords": [[0.000, 0.500, 0.243], [0.500, 0.000, 0.757], [0.500, 0.500, 0.000], [0.000, 0.000, 0.000], [0.000, 0.500, 0.648], [0.500, 0.000, 0.352], [0.000, 0.000, 0.500], [0.000, 0.500, 0.873], [0.500, 0.000, 0.127], [0.500, 0.500, 0.500]]
}

[19]
{
  "formula": "Pm4Sm2DyEr",
  "functional": "GGA-PBE",
  "state": "optimized geometry",
  "formation_enthalpy_0k_mev_per_atom": 398,
  "space_group": "No. 15",
  "lattice_angstrom": [[6.876, -6.630, 0.000], [6.876, 6.630, 0.000], [-3.430, 0.000, 5.961]],
  "species": ["Pm", "Pm", "Pm", "Pm", "Pm", "Pm", "Pm", "Pm", "Sm", "Sm", "Sm", "Sm", "Dy", "Dy", "Er", "Er"],
  "frac_coords": [[0.245, 0.750, 0.997], [0.246, 0.251, 0.953], [0.250, 0.755, 0.503], [0.251, 0.246, 0.453], [0.749, 0.754, 0.547], [0.750, 0.245, 0.497], [0.754, 0.749, 0.047], [0.755, 0.250, 0.003], [0.000, 0.500, 0.500], [0.500, 0.000, 0.000], [0.500, 0.500, 0.000], [0.500, 0.500, 0.500], [0.000, 0.000, 0.000], [0.000, 0.000, 0.500], [0.000, 0.500, 0.000], [0.500, 0.000, 0.500]]
}

[20]
{
  "formula": "TbPr3Nd2Ho6",
  "functional": "GGA-PBE",
  "state": "optimized geometry",
  "formation_enthalpy_0k_mev_per_atom": 14,
  "space_group": "No. 12",
  "lattice_angstrom": [[3.127, -5.415, 0.000], [3.127, 5.415, 0.000], [-2.078, 0.000, 11.644]],
  "species": ["Tb", "Pr", "Pr", "Pr", "Nd", "Nd", "Ho", "Ho", "Ho", "Ho", "Ho", "Ho"],
  "frac_coords": [[0.000, 0.000, 0.000], [0.167, 0.833, 0.500], [0.500, 0.500, 0.500], [0.833, 0.167, 0.500], [0.334, 0.666, 0.000], [0.666, 0.334, 0.000], [0.083, 0.416, 0.248], [0.250, 0.250, 0.752], [0.416, 0.083, 0.248], [0.584, 0.917, 0.752], [0.750, 0.750, 0.248], [0.917, 0.584, 0.752]]
}

no.,uncorrected energy (eV/cell)
1,-12.6
2,-7.3
3,-57.9
4,-92.8
5,-14.7
6,-85.8
7,-29.5
8,-64.2
9,-30.7
10,-142.4
11,-32.1
12,-36.0
13,-20.1
14,-45.1
15,-33.1
16,-16.1
17,-26.2
18,-25.1
19,-68.9
20,-55.8